# BCBr3 PBE relaxed
# E_form (uncorrected), eV/atom: 1.7888
# Calculated volume, A^3/atom: 21.39
data_BCBr3
_cell_length_a 4.747
_cell_length_b 4.747
_cell_length_c 4.747
_cell_angle_alpha 90.00
_cell_angle_beta 90.00
_cell_angle_gamma 90.00
_space_group_name_H-M_alt 'P m -3 m'
_space_group_IT_number 221
_space_group_name_Hall '-P 4 2 3'
loop_
_atom_site_label
_atom_site_type_symbol
_atom_site_fract_x
_atom_site_fract_y
_atom_site_fract_z
B1 B 0.000 0.000 0.000
C1 C 0.500 0.500 0.500
Br1 Br 0.000 0.500 0.500

# BC2Br PBE relaxed
# E_form (uncorrected), eV/atom: 1.4916
# Calculated volume, A^3/atom: 10.97
data_BC2Br
_cell_length_a 4.683
_cell_length_b 4.683
_cell_length_c 8.003
_cell_angle_alpha 90.00
_cell_angle_beta 90.00
_cell_angle_gamma 90.00
_space_group_name_H-M_alt 'I -4 2 d'
_space_group_IT_number 122
_space_group_name_Hall 'I -4 2bw'
loop_
_atom_site_label
_atom_site_type_symbol
_atom_site_fract_x
_atom_site_fract_y
_atom_site_fract_z
B1 B 0.000 0.000 0.000
C1 C 0.109 0.250 0.125
Br1 Br 0.000 0.000 0.500

# BCBr2 PBE relaxed
# E_form (uncorrected), eV/atom: 2.0501
# Calculated volume, A^3/atom: 29.08
data_BCBr2
_cell_length_a 4.2768
_cell_length_b 4.2768
_cell_length_c 22.0280
_cell_angle_alpha 90.00
_cell_angle_beta 90.00
_cell_angle_gamma 120.00
_space_group_name_H-M_alt 'R -3 m'
_space_group_IT_number 166
_space_group_name_Hall '-R 3 2"'
loop_
_atom_site_label
_atom_site_type_symbol
_atom_site_fract_x
_atom_site_fract_y
_atom_site_fract_z
B1 B 0.0000 0.0000 0.0000
C1 C 0.0000 0.0000 0.5000
Br1 Br 0.0000 0.0000 0.0818

# B2CBr PBE relaxed
# E_form (uncorrected), eV/atom: 3.0889
# Calculated volume, A^3/atom: 10.60
data_B2CBr
_cell_length_a 5.536
_cell_length_b 5.536
_cell_length_c 5.536
_cell_angle_alpha 90.00
_cell_angle_beta 90.00
_cell_angle_gamma 90.00
_space_group_name_H-M_alt 'F m -3 m'
_space_group_IT_number 225
_space_group_name_Hall '-F 4 2 3'
loop_
_atom_site_label
_atom_site_type_symbol
_atom_site_fract_x
_atom_site_fract_y
_atom_site_fract_z
B1 B 0.250 0.250 0.250
C1 C 0.000 0.000 0.000
Br1 Br 0.000 0.000 0.500